1.
{"formula": "Mg2GaCoH", "functional": "PBE", "state": "relaxed", "lattice": [[-0.149, 2.493, -3.613], [2.167, -3.102, -2.230], [-2.933, -1.428, -0.864]], "species": ["H", "Mg", "Mg", "Co", "Ga"], "frac_coords": [[0.000, 0.000, 0.000], [0.000, 0.500, 0.000], [0.500, 0.000, 0.000], [0.000, 0.000, 0.500], [0.500, 0.500, 0.500]], "de_polymorph_mev_per_atom": 0, "space_group": "No. 123"}

***

2.
{"formula": "LiAg4Sn", "functional": "PBE", "state": "relaxed", "lattice": [[5.026, 0.000, -0.705], [0.000, 7.295, 0.000], [-2.375, -3.648, 6.443]], "species": ["Li", "Li", "Ag", "Ag", "Ag", "Ag", "Ag", "Ag", "Ag", "Ag", "Sn", "Sn"], "frac_coords": [[0.351, 0.551, 0.102], [0.649, 0.449, 0.898], [0.054, 0.666, 0.331], [0.335, 0.074, 0.758], [0.000, 0.203, 0.000], [0.665, 0.315, 0.242], [0.946, 0.334, 0.669], [0.665, 0.926, 0.242], [0.000, 0.797, 0.000], [0.335, 0.685, 0.758], [0.707, 0.790, 0.580], [0.293, 0.210, 0.420]], "de_polymorph_mev_per_atom": 26, "space_group": "No. 12", "delta_e_f_ev_per_atom": -0.03}

***

3.
{"formula": "Ni2AgCl", "functional": "PBE", "state": "relaxed", "lattice": [[4.960, 0.100, 0.000], [1.965, 4.555, 0.000], [-3.463, -2.327, 2.684]], "species": ["Ag", "Cl", "Ni", "Ni"], "frac_coords": [[0.500, 0.500, 0.000], [0.750, 0.250, 0.500], [0.000, 0.000, 0.000], [0.250, 0.750, 0.500]], "de_polymorph_mev_per_atom": 479, "space_group": "No. 119", "formation_energy_uncorrected_kj_per_mol_atoms": 60.3}

***

4.
{"formula": "YTlGeO4", "functional": "PBE", "state": "relaxed", "lattice": [[-2.114, -5.381, 1.060], [3.480, -2.210, -4.280], [6.168, 0.983, 4.506]], "species": ["Y", "Y", "Tl", "Tl", "Ge", "Ge", "O", "O", "O", "O", "O", "O", "O", "O"], "frac_coords": [[0.800, 0.750, 0.454], [0.200, 0.250, 0.546], [0.666, 0.750, 0.907], [0.334, 0.250, 0.093], [0.263, 0.750, 0.348], [0.737, 0.250, 0.652], [0.943, 0.476, 0.664], [0.057, 0.976, 0.336], [0.057, 0.524, 0.336], [0.943, 0.024, 0.664], [0.454, 0.750, 0.208], [0.546, 0.250, 0.792], [0.477, 0.750, 0.568], [0.523, 0.250, 0.432]], "space_group": "No. 11", "formation_energy_uncorrected_kj_per_mol_atoms": -202.9}